1.
! PmEr2Mg5, relaxed, DFT PBE-GGA; values from VASP
! Density of states at the Fermi level ... 11.23 states/eV/cell
! Formation enthalpy at 0 K ... -78 meV per atom
&SYSTEM
  ibrav = 0, nat = 16, ntyp = 3
/
ATOMIC_SPECIES
Pm 145.00 Pm.upf
Er 167.26 Er.upf
Mg 24.30 Mg.upf
CELL_PARAMETERS angstrom
5.255 0.000 0.000
0.000 5.255 0.000
0.000 0.000 15.147
ATOMIC_POSITIONS angstrom
Pm 0.000 0.000 0.000
Pm 2.627 2.627 7.574
Er 0.000 0.000 3.896
Er 0.000 0.000 11.252
Er 2.627 2.627 3.678
Er 2.627 2.627 11.469
Mg 0.000 0.000 7.574
Mg 0.000 2.627 1.852
Mg 0.000 2.627 5.721
Mg 0.000 2.627 9.426
Mg 0.000 2.627 13.295
Mg 2.627 0.000 1.852
Mg 2.627 0.000 5.721
Mg 2.627 0.000 9.426
Mg 2.627 0.000 13.295
Mg 2.627 2.627 0.000


2.
! CsCd2In4Ge, relaxed, DFT PBE-GGA; values from VASP
! Density of states at the Fermi level ... 3.66 states/eV/cell
! Formation enthalpy at 0 K ... -16 meV per atom
&SYSTEM
  ibrav = 0, nat = 8, ntyp = 4
/
ATOMIC_SPECIES
Cs 132.91 Cs.upf
Cd 112.41 Cd.upf
In 114.82 In.upf
Ge 72.64 Ge.upf
CELL_PARAMETERS angstrom
2.586 1.493 10.912
-2.586 1.493 10.912
0.000 -2.986 10.912
ATOMIC_POSITIONS angstrom
Cs 0.000 0.000 0.000
Cd 0.000 0.000 7.826
Cd 0.000 0.000 24.910
In 0.000 0.000 4.453
In 0.000 0.000 13.532
In 0.000 0.000 19.203
In 0.000 0.000 28.282
Ge 0.000 0.000 16.368


3.
! NaTl2Sb2, relaxed, DFT PBE-GGA; values from VASP
! Density of states at the Fermi level ... 7.48 states/eV/cell
! Formation energy without anion corrections ... -0.073 eV/atom
&SYSTEM
  ibrav = 0, nat = 10, ntyp = 3
/
ATOMIC_SPECIES
Na 22.99 Na.upf
Tl 204.38 Tl.upf
Sb 121.76 Sb.upf
CELL_PARAMETERS angstrom
8.286 0.000 0.000
0.000 8.286 0.000
0.000 0.000 4.796
ATOMIC_POSITIONS angstrom
Na 0.000 0.000 0.000
Na 4.143 4.143 0.000
Tl 1.383 2.760 2.398
Tl 2.760 6.902 2.398
Tl 5.526 1.383 2.398
Tl 6.902 5.526 2.398
Sb 1.010 5.152 0.000
Sb 3.133 1.010 0.000
Sb 5.152 7.276 0.000
Sb 7.276 3.133 0.000